LaMnGe2O, relaxed, DFT GGA+U; magnetic moment = 6.65 μB/cell; E = -19.129 eV/cell
1.0
-4.582 1.251 -3.077
-1.219 -6.228 -0.718
-3.141 0.072 4.707
Ge O La Mn
2 1 1 1
Direct
0.000 0.000 0.500
0.500 0.000 0.000
0.500 0.500 0.500
0.000 0.000 0.000
0.000 0.500 0.000